[1]
First-principles (PBE) data for an optimized crystal structure of La4NdCu5, as listed in Alexandria.

```
data_La4NdCu5
_cell_length_a 3.623
_cell_length_b 3.623
_cell_length_c 18.416
_cell_angle_alpha 90.00
_cell_angle_beta 90.00
_cell_angle_gamma 90.00
_symmetry_space_group_name_H-M 'P 4/m m m'
_symmetry_Int_Tables_number 123
_symmetry_space_group_name_Hall '-P 4 2'
loop_
_atom_site_label
_atom_site_fract_x
_atom_site_fract_y
_atom_site_fract_z
_atom_site_occupancy
La1 0.000 0.000 0.101 1
La2 0.000 0.000 0.302 1
Nd1 0.000 0.000 0.500 1
Cu1 0.500 0.500 0.000 1
Cu2 0.500 0.500 0.201 1
Cu3 0.500 0.500 0.405 1
```

Total energy: -46.32 eV per formula unit
Calculated formation energy: -0.136 eV per atom
Mass density: 6.99 g/cm³

=====

[2]
First-principles (PBE) data for an optimized crystal structure of La3Nd3Cu4, as listed in Alexandria.

```
data_La3Nd3Cu4
_cell_length_a 4.744
_cell_length_b 10.587
_cell_length_c 10.536
_cell_angle_alpha 90.00
_cell_angle_beta 90.00
_cell_angle_gamma 90.00
_symmetry_space_group_name_H-M 'A m m 2'
_symmetry_Int_Tables_number 38
_symmetry_space_group_name_Hall 'A 2 -2'
loop_
_atom_site_label
_atom_site_fract_x
_atom_site_fract_y
_atom_site_fract_z
_atom_site_occupancy
La1 0.000 0.000 0.000 1
La2 0.000 0.162 0.661 1
Nd1 0.000 0.000 0.326 1
Nd2 0.500 0.247 0.409 1
Cu1 0.500 0.000 0.539 1
Cu2 0.500 0.000 0.782 1
Cu3 0.500 0.119 0.162 1
```

Total energy: -46.35 eV per formula unit
Calculated formation energy: -0.088 eV per atom
Mass density: 6.93 g/cm³

=====

[3]
First-principles (PBE) data for an optimized crystal structure of LaNd3Cu, as listed in Alexandria.

```
data_LaNd3Cu
_cell_length_a 5.592
_cell_length_b 5.592
_cell_length_c 5.592
_cell_angle_alpha 90.00
_cell_angle_beta 90.00
_cell_angle_gamma 90.00
_symmetry_space_group_name_H-M 'P m -3 m'
_symmetry_Int_Tables_number 221
_symmetry_space_group_name_Hall '-P 4 2 3'
loop_
_atom_site_label
_atom_site_fract_x
_atom_site_fract_y
_atom_site_fract_z
_atom_site_occupancy
La1 0.000 0.000 0.000 1
Nd1 0.000 0.500 0.500 1
Cu1 0.500 0.500 0.500 1
```

Total energy: -22.77 eV per formula unit
Calculated formation energy: 0.111 eV per atom
Mass density: 6.03 g/cm³

=====

[4]
First-principles (PBE) data for an optimized crystal structure of La3NdCu4, as listed in Alexandria.

```
data_La3NdCu4
_cell_length_a 5.166
_cell_length_b 5.166
_cell_length_c 7.239
_cell_angle_alpha 90.00
_cell_angle_beta 90.00
_cell_angle_gamma 90.00
_symmetry_space_group_name_H-M 'P 4/m m m'
_symmetry_Int_Tables_number 123
_symmetry_space_group_name_Hall '-P 4 2'
loop_
_atom_site_label
_atom_site_fract_x
_atom_site_fract_y
_atom_site_fract_z
_atom_site_occupancy
La1 0.000 0.000 0.000 1
La2 0.000 0.000 0.500 1
La3 0.500 0.500 0.000 1
Nd1 0.500 0.500 0.500 1
Cu1 0.000 0.500 0.256 1
```

Total energy: -37.01 eV per formula unit
Calculated formation energy: -0.134 eV per atom
Mass density: 7.01 g/cm³

=====

[5]
First-principles (PBE) data for an optimized crystal structure of LaNdCu, as listed in Alexandria.

```
data_LaNdCu
_cell_length_a 15.529
_cell_length_b 3.902
_cell_length_c 8.449
_cell_angle_alpha 90.00
_cell_angle_beta 90.00
_cell_angle_gamma 90.00
_symmetry_space_group_name_H-M 'P m m a'
_symmetry_Int_Tables_number 51
_symmetry_space_group_name_Hall '-P 2a 2a'
loop_
_atom_site_label
_atom_site_fract_x
_atom_site_fract_y
_atom_site_fract_z
_atom_site_occupancy
La1 0.055 0.000 0.196 1
La2 0.250 0.000 0.869 1
Nd1 0.109 0.500 0.578 1
Nd2 0.250 0.500 0.244 1
Cu1 0.092 0.500 0.936 1
Cu2 0.250 0.000 0.497 1
```

Total energy: -14.05 eV per formula unit
Calculated formation energy: -0.088 eV per atom
Excess energy over the best structure of this formula in the dataset: 0.002 eV per atom
Mass density: 6.75 g/cm³

=====

[6]
First-principles (PBE) data for an optimized crystal structure of LaNd3Cu4, as listed in Alexandria.

```
data_LaNd3Cu4
_cell_length_a 5.117
_cell_length_b 5.117
_cell_length_c 7.179
_cell_angle_alpha 90.00
_cell_angle_beta 90.00
_cell_angle_gamma 90.00
_symmetry_space_group_name_H-M 'P 4/m m m'
_symmetry_Int_Tables_number 123
_symmetry_space_group_name_Hall '-P 4 2'
loop_
_atom_site_label
_atom_site_fract_x
_atom_site_fract_y
_atom_site_fract_z
_atom_site_occupancy
La1 0.000 0.000 0.000 1
Nd1 0.000 0.000 0.500 1
Nd2 0.500 0.500 0.000 1
Nd3 0.500 0.500 0.500 1
Cu1 0.000 0.500 0.255 1
```

Total energy: -36.71 eV per formula unit
Calculated formation energy: -0.137 eV per atom
Mass density: 7.29 g/cm³

=====

[7]
First-principles (PBE) data for an optimized crystal structure of LaNd4Cu5, as listed in Alexandria.

```
data_LaNd4Cu5
_cell_length_a 3.588
_cell_length_b 3.588
_cell_length_c 18.198
_cell_angle_alpha 90.00
_cell_angle_beta 90.00
_cell_angle_gamma 90.00
_symmetry_space_group_name_H-M 'P 4/m m m'
_symmetry_Int_Tables_number 123
_symmetry_space_group_name_Hall '-P 4 2'
loop_
_atom_site_label
_atom_site_fract_x
_atom_site_fract_y
_atom_site_fract_z
_atom_site_occupancy
La1 0.000 0.000 0.000 1
Nd1 0.000 0.000 0.202 1
Nd2 0.000 0.000 0.401 1
Cu1 0.500 0.500 0.106 1
Cu2 0.500 0.500 0.301 1
Cu3 0.500 0.500 0.500 1
```

Total energy: -45.87 eV per formula unit
Calculated formation energy: -0.139 eV per atom
Mass density: 7.33 g/cm³

=====

[8]
First-principles (PBE) data for an optimized crystal structure of La2Nd2Cu, as listed in Alexandria.

```
data_La2Nd2Cu
_cell_length_a 3.702
_cell_length_b 3.702
_cell_length_c 22.911
_cell_angle_alpha 90.00
_cell_angle_beta 90.00
_cell_angle_gamma 90.00
_symmetry_space_group_name_H-M 'I 4/m m m'
_symmetry_Int_Tables_number 139
_symmetry_space_group_name_Hall '-I 4 2'
loop_
_atom_site_label
_atom_site_fract_x
_atom_site_fract_y
_atom_site_fract_z
_atom_site_occupancy
La1 0.000 0.000 0.077 1
Nd1 0.000 0.000 0.305 1
Cu1 0.000 0.000 0.500 1
```

Total energy: -23.69 eV per formula unit
Calculated formation energy: -0.041 eV per atom
Mass density: 6.66 g/cm³